1.
A plane-wave DFT calculation with PBE-GGA was carried out for a relaxed AcPmS2 crystal.

Energy relative to the lowest polymorph listed for this composition = 165 meV/atom
Symmetry = No. 164

```
AcPmS2
1.0
3.973 0.000 0.000
-1.987 3.441 0.000
0.000 0.000 7.693
Ac Pm S
1 1 2
direct
0.000 0.000 0.000
0.000 0.000 0.500
0.333 0.667 0.727
0.667 0.333 0.273
```

***

2.
A plane-wave DFT calculation with PBE-GGA was carried out for a relaxed La4SnSbC crystal.

Symmetry = No. 63

```
La4SnSbC
1.0
3.584 -8.516 0.000
3.584 8.516 0.000
0.000 0.000 7.159
La Sn Sb C
8 2 2 2
direct
0.000 0.500 0.000
0.000 0.500 0.500
0.082 0.918 0.750
0.413 0.587 0.750
0.500 0.000 0.000
0.500 0.000 0.500
0.587 0.413 0.250
0.918 0.082 0.250
0.110 0.890 0.250
0.890 0.110 0.750
0.388 0.612 0.250
0.612 0.388 0.750
0.270 0.730 0.750
0.730 0.270 0.250
```

***

Raw formation energy: -7.39, -4.65 (eV/f.u.)
E_tot: -0.450, -0.438 (Ry/atom)